A relaxed structure of Ga2Tc2Au, computed with PBE.

a = 7.0974 Å, b = 7.0974 Å, c = 3.2070 Å
α = 90.00°, β = 90.00°, γ = 90.00°
Last column: nearest neighbours and their distance in Å.
Sites, in units of the cell vectors:
Ga (0.1740, 0.3260, 0.0000)  6 Tc 2.60-2.67
Ga (0.3260, 0.8260, 0.0000)  6 Tc 2.60-2.67
Ga (0.6740, 0.1740, 0.0000)  6 Tc 2.60-2.67
Ga (0.8260, 0.6740, 0.0000)  6 Tc 2.60-2.67
Tc (0.1218, 0.6218, 0.5000)  1 Tc 2.45, 6 Ga 2.60-2.67
Tc (0.3782, 0.1218, 0.5000)  1 Tc 2.45, 6 Ga 2.60-2.67
Tc (0.6218, 0.8782, 0.5000)  1 Tc 2.45, 6 Ga 2.60-2.67
Tc (0.8782, 0.3782, 0.5000)  1 Tc 2.45, 6 Ga 2.60-2.67
Au (0.0000, 0.0000, 0.5000)  4 Tc 2.82, 8 Ga 3.07
Au (0.5000, 0.5000, 0.5000)  4 Tc 2.82, 8 Ga 3.07

Properties
* size of the total moment: 0.0 μB/cell
* N(E_F): 3.152 states/eV/f.u.
* energy relative to the lowest polymorph listed for this composition: 0 meV/atom
* total energy: -5.954 eV/atom
* formation energy from the elements: 0.0587 eV/atom
* space group: P4/mbm